No. 1
# RbAl2PdBr8

A geometry-optimized RbAl2PdBr8 structure (PBE, the Alexandria database).

Results
Energy relative to the elements, uncorrected ... -1.019 eV per atom
Uncorrected energy ... -3.272 eV/atom

Cell: 6.8573 6.8573 9.9174 Å, 90.00 90.00 120.00°
Space group P-3 (No. 147)
Unique sites:
1 Rb 0.0000 0.0000 0.0000 (multiplicity 1)
2 Al 0.3333 0.6667 0.7420 (multiplicity 2)
3 Pd 0.0000 0.0000 0.5000 (multiplicity 1)
4 Br 0.0147 0.3339 0.6714 (multiplicity 6)
5 Br 0.3333 0.6667 0.9769 (multiplicity 2)



No. 2
# AlPdSe2Br

A geometry-optimized AlPdSe2Br structure (PBE, the Alexandria database).

Results
Energy relative to the elements, uncorrected ... 0.254 eV per atom
Uncorrected energy ... -3.262 eV/atom
Relative energy among the computed polymorphs ... 0.027 eV per atom

Cell: 4.9766 4.9766 5.1741 Å, 90.00 90.00 90.00°
Space group P4/mmm (No. 123)
Unique sites:
1 Al 0.0000 0.0000 0.0000 (multiplicity 1)
2 Pd 0.5000 0.5000 0.5000 (multiplicity 1)
3 Se 0.0000 0.5000 0.5000 (multiplicity 2)
4 Br 0.5000 0.5000 0.0000 (multiplicity 1)



No. 3
# AlPdSeBr2

A geometry-optimized AlPdSeBr2 structure (PBE, the Alexandria database).

Results
Energy relative to the elements, uncorrected ... 0.076 eV per atom
Uncorrected energy ... -3.077 eV/atom
Relative energy among the computed polymorphs ... 0.000 eV per atom

Cell: 4.9982 4.9982 5.0298 Å, 90.00 90.00 90.00°
Space group P4/mmm (No. 123)
Unique sites:
1 Al 0.0000 0.0000 0.0000 (multiplicity 1)
2 Pd 0.5000 0.5000 0.5000 (multiplicity 1)
3 Se 0.0000 0.0000 0.5000 (multiplicity 1)
4 Br 0.0000 0.5000 0.0000 (multiplicity 2)